# K2CrIF PBE with a Hubbard U relaxed
data_K2CrIF
_space_group_name_H-M_alt 'P 1'
_space_group_IT_number 1
_cell_length_a 6.732
_cell_length_b 5.608
_cell_length_c 6.732
_cell_angle_alpha 90.00
_cell_angle_beta 90.00
_cell_angle_gamma 90.00
loop_
_space_group_symop_operation_xyz
'x,y,z'
loop_
_atom_site_label
_atom_site_type_symbol
_atom_site_fract_x
_atom_site_fract_y
_atom_site_fract_z
K1 K 0.000 0.000 0.500
K2 K 0.500 0.000 0.000
Cr1 Cr 0.000 0.500 0.000
F1 F 0.500 0.500 0.500
I1 I 0.000 0.000 0.000
# Calculated total energy, eV per atom: -3.256
# Crystal system: tetragonal